[1]
## RbMnI3 (GGA-PBE)

Data for a geometry-optimized RbMnI3 structure.

The structure in extended XYZ format:
```
10
Lattice="4.157 0.000 0.565 0.000 8.094 0.000 -1.729 0.000 12.911" Properties=species:S:1:pos:R:3 pbc="T T T"
Mn -0.187 2.024 9.371
Mn 2.615 6.071 4.105
I 0.456 7.972 4.426
I -0.555 2.024 12.055
I 1.972 3.925 9.050
I 1.972 0.122 9.050
I 0.456 4.169 4.426
I 2.983 6.071 1.421
Rb 2.851 2.024 2.391
Rb -0.423 6.071 11.085
```

* space group: P2_1/m (11)
* size of the total moment: 1.00 μB/atom
* raw total energy: -3.765 eV/atom
* E_form (uncorrected): -0.81 eV/atom

---

[2]
## TbPrNpO6 (GGA-PBE)

Data for a geometry-optimized TbPrNpO6 structure.

The structure in extended XYZ format:
```
18
Lattice="-3.930 -3.940 -1.683 3.647 -1.212 4.363 -6.455 3.696 6.422" Properties=species:S:1:pos:R:3 pbc="T T T"
Pr -3.228 1.848 3.211
Pr 0.000 0.000 0.000
Np -3.018 -2.107 1.938
Np -3.720 0.651 7.164
O -3.475 -3.736 0.724
O -2.543 -0.513 3.191
O -4.511 -0.489 8.717
O -2.886 1.806 5.645
O -3.264 2.280 8.377
O -3.852 -3.262 3.456
O -4.196 -0.943 5.911
O -5.565 1.409 6.565
O -2.228 -0.967 0.385
O -1.899 -0.159 7.768
O -4.839 -1.297 1.333
O -1.174 -2.864 2.536
Tb -6.246 -0.259 5.149
Tb -0.493 -1.197 3.953
```

* space group: P-31c (163)
* size of the total moment: 0.11 μB/atom
* raw total energy: -8.964 eV/atom
* E_form (uncorrected): -3.17 eV/atom

---

[3]
## Ba6Hg3H (GGA-PBE)

Data for a geometry-optimized Ba6Hg3H structure.

The structure in extended XYZ format:
```
20
Lattice="7.907 0.000 0.000 0.000 10.697 0.099 0.000 -2.291 10.450" Properties=species:S:1:pos:R:3 pbc="T T T"
Hg 3.134 2.974 6.253
Hg 7.771 -0.027 2.736
Hg 7.771 5.733 9.964
Hg 7.087 5.432 4.295
Hg 3.818 2.673 0.584
Hg 3.818 8.433 7.812
Ba 5.459 5.811 1.233
Ba 5.554 0.738 8.036
Ba 1.601 7.668 2.513
Ba 5.455 5.257 7.442
Ba 5.459 8.501 4.608
Ba 1.506 -0.095 5.940
Ba 0.966 -1.611 9.908
Ba 1.506 2.595 9.315
Ba 4.919 10.017 0.641
Ba 5.455 2.325 3.764
Ba 1.501 6.082 6.785
Ba 1.501 3.150 3.106
H 4.254 7.970 2.272
H 0.301 0.436 8.276
```

* space group: Cmc2_1 (36)
* size of the total moment: 0.00 μB/atom
* raw total energy: -1.928 eV/atom

---

[4]
## RbPa2Te4 (GGA-PBE)

Data for a geometry-optimized RbPa2Te4 structure.

The structure in extended XYZ format:
```
7
Lattice="-0.802 4.012 -1.598 2.742 -2.037 -6.489 -9.135 -3.862 0.925" Properties=species:S:1:pos:R:3 pbc="T T T"
Te -6.813 -1.335 0.068
Te -5.613 -0.273 -3.903
Te -0.382 -0.552 -7.230
Te -1.582 -1.615 -3.259
Pa -3.114 -0.511 -5.754
Pa -4.080 -1.377 -1.408
Rb 0.970 0.987 -4.044
```

* space group: C2/m (12)
* size of the total moment: 0.43 μB/atom
* raw total energy: -5.531 eV/atom
* E_form (uncorrected): -0.88 eV/atom
* excess energy over the best structure of this formula in the dataset: 0.0 meV per atom

---

[5]
## Re2Se4I (GGA-PBE)

Data for a geometry-optimized Re2Se4I structure.

The structure in extended XYZ format:
```
14
Lattice="-0.343 -4.896 4.770 -2.808 -4.243 -4.578 7.692 2.424 -1.859" Properties=species:S:1:pos:R:3 pbc="T T T"
Re 4.598 -3.175 0.131
Re 0.710 -3.743 1.116
Re -1.040 -6.385 -1.737
Re 4.812 -0.126 -2.842
Se -0.755 -6.063 0.978
Se 5.886 -0.808 -0.406
Se 4.538 -2.849 -2.597
Se 2.281 -1.935 0.404
Se 2.091 -4.615 3.007
Se 2.819 -4.928 0.054
Se 4.354 -2.604 2.551
Se -0.588 -3.710 -1.306
I 1.654 -3.194 -3.171
I -0.344 -4.895 4.770
```

* space group: F222 (22)
* size of the total moment: 0.00 μB/atom
* raw total energy: -5.567 eV/atom
* E_form (uncorrected): 0.20 eV/atom

---

[6]
## PrGdHo (GGA-PBE)

Data for a geometry-optimized PrGdHo structure.

The structure in extended XYZ format:
```
3
Lattice="3.617 0.000 0.000 -1.808 3.132 0.000 0.000 0.000 8.806" Properties=species:S:1:pos:R:3 pbc="T T T"
Gd 1.808 1.044 2.979
Ho 0.000 2.088 5.852
Pr 0.000 0.000 8.782
```

* space group: P3m1 (156)
* energy of formation from the pure elements: 21 meV/atom
* size of the total moment: 2.47 μB/atom
* raw total energy: -7.792 eV/atom
* excess energy over the best structure of this formula in the dataset: 0.0 meV per atom